Here is NaCaSnBi after structural relaxation from Alexandria via LeMat-Bulk. Energies are from PBE-GGA.

Lattice parameters (Å, degrees): 7.7607 7.7607 7.7607 90.00 90.00 90.00
Space group F-43m (No. 216)
One atom of each set of equivalent atoms:
Na 0.0000 0.0000 0.0000 (multiplicity 4)
Ca 0.0000 0.0000 0.5000 (multiplicity 4)
Sn 0.2500 0.2500 0.7500 (multiplicity 4)
Bi 0.2500 0.2500 0.2500 (multiplicity 4)

## Properties
- DOS at the Fermi energy (states/eV/f.u.) = 2.64
- ρ (g/cm3) = 5.55
- size of the total moment (μB/cell) = 0.000
- distance to the lowest polymorph of the same formula (eV/atom) = 0.066
- energy of formation from the pure elements (eV/atom) = -0.40

Here is Ba3Bi7Pd2 after structural relaxation from Alexandria via LeMat-Bulk. Energies are from PBE-GGA.

Lattice parameters (Å, degrees): 5.1755 5.0701 15.2637 90.00 99.70 90.00
Space group P2/m (No. 10)
One atom of each set of equivalent atoms:
Ba 0.0000 0.0000 0.0000 (multiplicity 1)
Ba 0.3171 0.5000 0.6334 (multiplicity 2)
Bi 0.0838 0.5000 0.1729 (multiplicity 2)
Bi 0.2207 0.0000 0.4414 (multiplicity 2)
Bi 0.4108 0.0000 0.8238 (multiplicity 2)
Bi 0.5000 0.5000 0.0000 (multiplicity 1)
Pd 0.1289 0.0000 0.2552 (multiplicity 2)

## Properties
- DOS at the Fermi energy (states/eV/f.u.) = 7.28
- ρ (g/cm3) = 8.78
- size of the total moment (μB/cell) = 0.000
- energy of formation from the pure elements (eV/atom) = -0.58